The following is a DFT calculation (PBE-GGA) of Sm7Dy2Tl2 after structural relaxation.

a b c (Å): 3.6760 11.4149 11.4149
angles (deg): 50.97 80.73 80.73
Fractional positions:
Sm (0.8391, 0.0513, 0.2706)
Sm (0.8664, 0.3952, 0.8720)
Sm (0.5000, 0.0487, 0.9513)
Sm (0.6296, 0.4559, 0.2849)
Sm (0.3704, 0.7151, 0.5441)
Sm (0.1609, 0.7294, 0.9487)
Sm (0.1336, 0.1280, 0.6048)
Dy (0.0000, 0.7267, 0.2733)
Dy (0.5000, 0.3960, 0.6040)
Tl (0.7443, 0.8595, 0.6519)
Tl (0.2557, 0.3481, 0.1405)


The following is a DFT calculation (PBE-GGA) of Sm6DyTl4 after structural relaxation.

a b c (Å): 9.6372 9.6372 9.6372
angles (deg): 57.06 140.52 140.52
Fractional positions:
Sm (0.0000, 0.9156, 0.4435)
Sm (0.0000, 0.4435, 0.9156)
Sm (0.5278, 0.0844, 0.0844)
Sm (0.5000, 0.0000, 0.5000)
Sm (0.4722, 0.5565, 0.5565)
Sm (0.5000, 0.5000, 0.0000)
Dy (0.0000, 0.0000, 0.0000)
Tl (0.0000, 0.1080, 0.6233)
Tl (0.4847, 0.3767, 0.3767)
Tl (0.0000, 0.6233, 0.1080)
Tl (0.5153, 0.8920, 0.8920)


The following is a DFT calculation (PBE-GGA) of Sm2Dy3Tl2 after structural relaxation.

a b c (Å): 5.4510 5.4442 8.7210
angles (deg): 108.25 90.00 120.04
Fractional positions:
Sm (0.9242, 0.8484, 0.2729)
Sm (0.0758, 0.1516, 0.7271)
Dy (0.5000, 0.0000, 0.0000)
Dy (0.6538, 0.3077, 0.4613)
Dy (0.3462, 0.6923, 0.5387)
Tl (0.7831, 0.5662, 0.8496)
Tl (0.2169, 0.4338, 0.1504)


The following is a DFT calculation (PBE-GGA) of Sm5DyTl6 after structural relaxation.

a b c (Å): 5.4507 9.4271 9.4475
angles (deg): 60.07 73.17 54.52
Fractional positions:
Sm (0.5000, 0.1688, 0.6623)
Sm (0.0000, 0.3341, 0.3319)
Sm (0.5000, 0.5000, 0.0000)
Sm (0.0000, 0.6659, 0.6681)
Sm (0.5000, 0.8312, 0.3377)
Dy (0.0000, 0.0000, 0.0000)
Tl (0.7529, 0.0822, 0.3298)
Tl (0.2471, 0.5881, 0.3298)
Tl (0.2559, 0.2443, 0.0000)
Tl (0.7441, 0.7557, 0.0000)
Tl (0.7529, 0.4119, 0.6702)
Tl (0.2471, 0.9178, 0.6702)


The following is a DFT calculation (PBE-GGA) of SmDy4Tl after structural relaxation.

excess energy over the best structure of this formula in the dataset	86	meV/atom

a b c (Å): 6.4625 9.0125 8.2861
angles (deg): 112.66 99.73 113.98
Fractional positions:
Sm (0.3390, 0.5890, 0.1781)
Sm (0.6610, 0.4110, 0.8219)
Dy (0.0392, 0.1586, 0.7480)
Dy (0.7550, 0.7137, 0.6199)
Dy (0.2088, 0.5894, 0.7480)
Dy (0.3649, 0.9062, 0.6199)
Dy (0.6351, 0.0938, 0.3801)
Dy (0.7912, 0.4106, 0.2520)
Dy (0.2450, 0.2863, 0.3801)
Dy (0.9608, 0.8414, 0.2520)
Tl (0.2502, 0.0002, 0.0004)
Tl (0.7498, 0.9998, 0.9996)


The following is a DFT calculation (PBE-GGA) of Sm2Dy3Tl after structural relaxation.

excess energy over the best structure of this formula in the dataset	0	meV/atom

a b c (Å): 4.9127 4.8797 8.0166
angles (deg): 107.72 90.00 90.00
Fractional positions:
Sm (0.0000, 0.6623, 0.3245)
Sm (0.0000, 0.3377, 0.6755)
Dy (0.5000, 0.1667, 0.3333)
Dy (0.5000, 0.5000, 0.0000)
Dy (0.5000, 0.8333, 0.6667)
Tl (0.0000, 0.0000, 0.0000)


The following is a DFT calculation (PBE-GGA) of Sm3Dy3Tl5 after structural relaxation.

a b c (Å): 5.6462 9.3007 9.3007
angles (deg): 120.00 90.00 90.00
Fractional positions:
Sm (0.0000, 0.4323, 0.4323)
Sm (0.0000, 0.5677, 0.0000)
Sm (0.0000, 0.0000, 0.5677)
Dy (0.5000, 0.6832, 0.6832)
Dy (0.5000, 0.0000, 0.3168)
Dy (0.5000, 0.3168, 0.0000)
Tl (0.5000, 0.3333, 0.6667)
Tl (0.5000, 0.6667, 0.3333)
Tl (0.5000, 0.3157, 0.3157)
Tl (0.5000, 0.0000, 0.6843)
Tl (0.5000, 0.6843, 0.0000)


The following is a DFT calculation (PBE-GGA) of Sm3Dy4Tl2 after structural relaxation.

a b c (Å): 4.9717 7.6572 8.0303
angles (deg): 108.06 108.03 90.00
Fractional positions:
Sm (0.8851, 0.3256, 0.7703)
Sm (0.1149, 0.6744, 0.2297)
Sm (0.0000, 0.0000, 0.0000)
Dy (0.5580, 0.3326, 0.1161)
Dy (0.7791, 0.6855, 0.5582)
Dy (0.4420, 0.6674, 0.8839)
Dy (0.2209, 0.3145, 0.4418)
Tl (0.3426, 0.0009, 0.6853)
Tl (0.6574, 0.9991, 0.3147)


The following is a DFT calculation (PBE-GGA) of Sm3Dy5Tl after structural relaxation.

a b c (Å): 9.2359 9.2359 9.5208
angles (deg): 119.02 119.02 90.00
Fractional positions:
Sm (0.6158, 0.1158, 0.0000)
Sm (0.3842, 0.8842, 0.0000)
Sm (0.8842, 0.6158, 0.0000)
Sm (0.1158, 0.3842, 0.0000)
Sm (0.2500, 0.2500, 0.5000)
Sm (0.7500, 0.7500, 0.5000)
Dy (0.0565, 0.5565, 0.7300)
Dy (0.6735, 0.1735, 0.7300)
Dy (0.1735, 0.0565, 0.7300)
Dy (0.5565, 0.6735, 0.7300)
Dy (0.9435, 0.4435, 0.2700)
Dy (0.3265, 0.8265, 0.2700)
Dy (0.8265, 0.9435, 0.2700)
Dy (0.4435, 0.3265, 0.2700)
Dy (0.5000, 0.5000, 0.0000)
Dy (0.0000, 0.0000, 0.0000)
Tl (0.7500, 0.2500, 0.5000)
Tl (0.2500, 0.7500, 0.5000)


The following is a DFT calculation (PBE-GGA) of Sm6DyTl6 after structural relaxation.

a b c (Å): 6.5059 6.5059 10.8071
angles (deg): 90.00 90.00 120.01
Fractional positions:
Sm (0.0000, 0.0000, 0.6674)
Sm (0.0000, 0.0000, 0.3326)
Sm (0.3333, 0.6667, 0.0000)
Sm (0.6667, 0.3333, 0.0000)
Sm (0.3334, 0.6666, 0.5000)
Sm (0.6666, 0.3334, 0.5000)
Dy (0.0000, 0.0000, 0.0000)
Tl (0.0000, 0.5000, 0.7533)
Tl (0.5000, 0.0000, 0.7533)
Tl (0.5000, 0.5000, 0.7534)
Tl (0.5000, 0.0000, 0.2467)
Tl (0.0000, 0.5000, 0.2467)
Tl (0.5000, 0.5000, 0.2466)


The following is a DFT calculation (PBE-GGA) of Sm5DyTl6 after structural relaxation.

a b c (Å): 5.4684 7.6309 8.6572
angles (deg): 90.00 71.59 90.00
Fractional positions:
Tl (0.8351, 0.7526, 0.3299)
Tl (0.8350, 0.2474, 0.3299)
Tl (0.5000, 0.2479, 0.0000)
Tl (0.5000, 0.7521, 0.0000)
Tl (0.1650, 0.7526, 0.6701)
Tl (0.1649, 0.2474, 0.6701)
Sm (0.6683, 0.5000, 0.6634)
Sm (0.3336, 0.0000, 0.3329)
Sm (0.0000, 0.5000, 0.0000)
Sm (0.6664, 0.0000, 0.6671)
Sm (0.3317, 0.5000, 0.3366)
Dy (0.0000, 0.0000, 0.0000)


The following is a DFT calculation (PBE-GGA) of Sm5DyTl2 after structural relaxation.

excess energy over the best structure of this formula in the dataset	0	meV/atom

a b c (Å): 3.6685 8.5048 8.5048
angles (deg): 79.49 77.55 77.55
Fractional positions:
Sm (0.0000, 0.5000, 0.5000)
Sm (0.6366, 0.5867, 0.1401)
Sm (0.3634, 0.4133, 0.8599)
Sm (0.3634, 0.8599, 0.4133)
Sm (0.6366, 0.1401, 0.5867)
Dy (0.0000, 0.0000, 0.0000)
Tl (0.7278, 0.7722, 0.7722)
Tl (0.2722, 0.2278, 0.2278)


no.,calculated total energy (eV/atom),DOS at the Fermi energy (states/eV/cell)
1,-4.2949,15.9
2,-4.0085,10.3
3,-4.1982,6.2
4,-3.9041,9.4
5,-4.2679,13.9
6,-4.3691,7.3
7,-3.3232,9.1
8,-4.2552,10.8
9,-4.2036,23.4
10,-3.8243,15.9
11,-3.9058,9.4
12,-4.2225,11.1